Computed, not measured: an optimized crystal structure of Ba6Sn2SN at the PBE-GGA level of DFT.

* symmetry: Pmmn (59)
* density of states at the Fermi level: 11.69 states/eV/f.u.
* DFT total energy: -80.0 eV/cell

Cell lengths 8.2251, 8.2245, 11.6369 Å; angles 90.00, 90.00, 90.00 degrees
Closest atoms and distances in Å follow each position.
Fractional coordinates of all 20 atoms:
Ba 0.7366 0.0128 0.5000  1 N 2.75, 1 S 3.06
Ba 0.7632 0.5136 0.0000  1 N 2.75, 1 S 3.06
Ba 0.7634 0.9872 0.0000  1 N 2.75, 1 S 3.06
Ba 0.7368 0.4864 0.5000  1 N 2.75, 1 S 3.06
Ba 0.2368 0.5136 0.0000  1 N 2.75, 1 S 3.06
Ba 0.5000 0.2494 0.2632  1 N 2.76, 1 S 3.06
Ba 0.2366 0.9872 0.0000  1 N 2.75, 1 S 3.06
Ba 0.0000 0.7506 0.7632  1 N 2.76, 1 S 3.06
Ba 0.2632 0.4864 0.5000  1 N 2.75, 1 S 3.06
Ba 0.0000 0.7506 0.2368  1 N 2.76, 1 S 3.06
Ba 0.2634 0.0128 0.5000  1 N 2.75, 1 S 3.06
Ba 0.5000 0.2494 0.7368  1 N 2.76, 1 S 3.06
Sn 0.0000 0.2497 0.7500  12 Ba 4.11-4.12
Sn 0.5000 0.7503 0.2500  12 Ba 4.11-4.12
Sn 0.5000 0.7503 0.7500  12 Ba 4.11-4.12
Sn 0.0000 0.2497 0.2500  12 Ba 4.11-4.12
N 0.0000 0.7502 0.0000  6 Ba 2.75-2.76
N 0.5000 0.2498 0.5000  6 Ba 2.75-2.76
S 0.5000 0.2502 0.0000  6 Ba 3.06
S 0.0000 0.7498 0.5000  6 Ba 3.06

=====

Computed, not measured: an optimized crystal structure of BaSnS2N at the PBE-GGA level of DFT.

* symmetry: P4/mmm (123)
* density of states at the Fermi level: 1.86 states/eV/f.u.
* DFT total energy: -24.7 eV/cell

Cell lengths 5.2214, 5.2214, 4.2223 Å; angles 90.00, 90.00, 90.00 degrees
Closest atoms and distances in Å follow each position.
Fractional coordinates of all 5 atoms:
Sn 0.0000 0.0000 0.0000  2 N 2.11
Ba 0.5000 0.5000 0.5000  8 S 3.36, 4 N 3.69
S 0.5000 0.0000 0.0000  2 Sn 2.61
S 0.0000 0.5000 0.0000  2 Sn 2.61
N 0.0000 0.0000 0.5000  2 Sn 2.11

=====

Computed, not measured: an optimized crystal structure of BaSrS2N at the PBE-GGA level of DFT.

* symmetry: P4/mmm (123)
* density of states at the Fermi level: 2.51 states/eV/f.u.
* DFT total energy: -20.5 eV/cell

Cell lengths 5.7600, 5.7600, 4.7372 Å; angles 90.00, 90.00, 90.00 degrees
Closest atoms and distances in Å follow each position.
Fractional coordinates of all 5 atoms:
Ba 0.0000 0.0000 0.0000  2 N 2.37
S 0.5000 0.0000 0.0000  2 Ba 2.88
S 0.0000 0.5000 0.0000  2 Ba 2.88
N 0.0000 0.0000 0.5000  2 Ba 2.37
Sr 0.5000 0.5000 0.5000  8 S 3.73, 4 N 4.07

=====

Computed, not measured: an optimized crystal structure of BaSrS2N at the PBE-GGA level of DFT.

* symmetry: P4/mmm (123)
* density of states at the Fermi level: 3.55 states/eV/f.u.
* DFT total energy: -22.3 eV/cell

Cell lengths 5.6062, 5.6062, 4.8523 Å; angles 90.00, 90.00, 90.00 degrees
Closest atoms and distances in Å follow each position.
Fractional coordinates of all 5 atoms:
S 0.0000 0.5000 0.0000  2 Sr 2.80
S 0.5000 0.0000 0.0000  2 Sr 2.80
Sr 0.0000 0.0000 0.0000  2 N 2.43
N 0.0000 0.0000 0.5000  2 Sr 2.43
Ba 0.5000 0.5000 0.5000  8 S 3.71, 4 N 3.96

=====

Computed, not measured: an optimized crystal structure of BaTaS2N at the PBE-GGA level of DFT.

* symmetry: P4/mmm (123)
* density of states at the Fermi level: 6.46 states/eV/f.u.
* DFT total energy: -21.2 eV/cell

Cell lengths 5.5487, 5.5487, 4.1485 Å; angles 90.00, 90.00, 90.00 degrees
Closest atoms and distances in Å follow each position.
Fractional coordinates of all 5 atoms:
Ba 0.0000 0.0000 0.0000  2 N 2.07
S 0.5000 0.0000 0.0000  2 Ba 2.77
S 0.0000 0.5000 0.0000  2 Ba 2.77
N 0.0000 0.0000 0.5000  2 Ba 2.07
Ta 0.5000 0.5000 0.5000  8 S 3.46

=====

Computed, not measured: an optimized crystal structure of BaTaS2N at the PBE-GGA level of DFT.

* symmetry: P4/mmm (123)
* density of states at the Fermi level: 0.64 states/eV/f.u.
* DFT total energy: -36.4 eV/cell

Cell lengths 5.0291, 5.0291, 4.0460 Å; angles 90.00, 90.00, 90.00 degrees
Closest atoms and distances in Å follow each position.
Fractional coordinates of all 5 atoms:
S 0.0000 0.5000 0.0000  2 Ta 2.51
S 0.5000 0.0000 0.0000  2 Ta 2.51
Ta 0.0000 0.0000 0.0000  2 N 2.02
Ba 0.5000 0.5000 0.5000  8 S 3.23, 4 N 3.56
N 0.0000 0.0000 0.5000  2 Ta 2.02

=====

Computed, not measured: an optimized crystal structure of BaTaSN2 at the PBE-GGA level of DFT.

* symmetry: P4/mmm (123)
* density of states at the Fermi level: 4.51 states/eV/f.u.
* DFT total energy: -23.5 eV/cell

Cell lengths 4.3489, 4.3489, 5.7462 Å; angles 90.00, 90.00, 90.00 degrees
Closest atoms and distances in Å follow each position.
Fractional coordinates of all 5 atoms:
Ta 0.5000 0.5000 0.5000  4 S 3.08
N 0.0000 0.5000 0.0000  2 Ba 2.17
N 0.5000 0.0000 0.0000  2 Ba 2.17
S 0.0000 0.0000 0.5000  2 Ba 2.87, 4 Ta 3.08
Ba 0.0000 0.0000 0.0000  4 N 2.17

=====

Computed, not measured: an optimized crystal structure of BaTaSN2 at the PBE-GGA level of DFT.

* symmetry: P4/mmm (123)
* density of states at the Fermi level: 2.03 states/eV/f.u.
* DFT total energy: -38.6 eV/cell

Cell lengths 4.2017, 4.2017, 5.0412 Å; angles 90.00, 90.00, 90.00 degrees
Closest atoms and distances in Å follow each position.
Fractional coordinates of all 5 atoms:
N 0.0000 0.5000 0.0000  2 Ta 2.10
N 0.5000 0.0000 0.0000  2 Ta 2.10
Ta 0.0000 0.0000 0.0000  4 N 2.10
S 0.0000 0.0000 0.5000  2 Ta 2.52
Ba 0.5000 0.5000 0.5000  4 S 2.97, 8 N 3.28

=====

Computed, not measured: an optimized crystal structure of BaTc2SN at the PBE-GGA level of DFT.

* symmetry: P4/mmm (123)
* density of states at the Fermi level: 4.56 states/eV/f.u.
* DFT total energy: -34.3 eV/cell

Cell lengths 4.0740, 5.8305, 4.0740 Å; angles 90.00, 90.00, 90.00 degrees
Closest atoms and distances in Å follow each position.
Fractional coordinates of all 5 atoms:
Ba 0.0000 0.5000 0.0000  4 S 2.88, 2 N 2.92
N 0.0000 0.0000 0.0000  4 Tc 2.04
S 0.5000 0.5000 0.5000  4 Ba 2.88
Tc 0.0000 0.0000 0.5000  2 N 2.04
Tc 0.5000 0.0000 0.0000  2 N 2.04

=====

Computed, not measured: an optimized crystal structure of BaTcSN2 at the PBE-GGA level of DFT.

* symmetry: P4/mmm (123)
* density of states at the Fermi level: 4.27 states/eV/f.u.
* DFT total energy: -22.2 eV/cell

Cell lengths 4.4644, 4.4644, 6.3535 Å; angles 90.00, 90.00, 90.00 degrees
Closest atoms and distances in Å follow each position.
Fractional coordinates of all 5 atoms:
N 0.0000 0.5000 0.0000  2 Ba 2.23
N 0.5000 0.0000 0.0000  2 Ba 2.23
Ba 0.0000 0.0000 0.0000  4 N 2.23
S 0.0000 0.0000 0.5000  4 Tc 3.16, 2 Ba 3.18
Tc 0.5000 0.5000 0.5000  4 S 3.16

=====

Computed, not measured: an optimized crystal structure of BaTcSN2 at the PBE-GGA level of DFT.

* symmetry: P4/mmm (123)
* density of states at the Fermi level: 3.91 states/eV/f.u.
* DFT total energy: -34.1 eV/cell

Cell lengths 4.0782, 4.0782, 4.9775 Å; angles 90.00, 90.00, 90.00 degrees
Closest atoms and distances in Å follow each position.
Fractional coordinates of all 5 atoms:
Ba 0.5000 0.5000 0.5000  4 S 2.88, 8 N 3.22
N 0.5000 0.0000 0.0000  2 Tc 2.04
N 0.0000 0.5000 0.0000  2 Tc 2.04
S 0.0000 0.0000 0.5000  2 Tc 2.49
Tc 0.0000 0.0000 0.0000  4 N 2.04

=====

Computed, not measured: an optimized crystal structure of BaTcS2N at the PBE-GGA level of DFT.

* symmetry: P4/mmm (123)
* density of states at the Fermi level: 6.94 states/eV/f.u.
* DFT total energy: -20.3 eV/cell

Cell lengths 5.6416, 5.6416, 4.3632 Å; angles 90.00, 90.00, 90.00 degrees
Closest atoms and distances in Å follow each position.
Fractional coordinates of all 5 atoms:
S 0.5000 0.0000 0.0000  2 Ba 2.82
S 0.0000 0.5000 0.0000  2 Ba 2.82
Ba 0.0000 0.0000 0.0000  2 N 2.18
Tc 0.5000 0.5000 0.5000  8 S 3.57, 4 N 3.99
N 0.0000 0.0000 0.5000  2 Ba 2.18

=====

Computed, not measured: an optimized crystal structure of BaTcS2N at the PBE-GGA level of DFT.

* symmetry: P4/mmm (123)
* density of states at the Fermi level: 2.38 states/eV/f.u.
* DFT total energy: -32.2 eV/cell

Cell lengths 5.0221, 5.0221, 3.8545 Å; angles 90.00, 90.00, 90.00 degrees
Closest atoms and distances in Å follow each position.
Fractional coordinates of all 5 atoms:
S 0.0000 0.5000 0.0000  2 Tc 2.51
S 0.5000 0.0000 0.0000  2 Tc 2.51
Ba 0.5000 0.5000 0.5000  8 S 3.17
N 0.0000 0.0000 0.5000  2 Tc 1.93
Tc 0.0000 0.0000 0.0000  2 N 1.93

=====

Computed, not measured: an optimized crystal structure of BaTe2SN at the PBE-GGA level of DFT.

* symmetry: P4/mmm (123)
* density of states at the Fermi level: 1.63 states/eV/f.u.
* DFT total energy: -20.2 eV/cell

Cell lengths 6.4129, 6.4129, 3.3595 Å; angles 90.00, 90.00, 90.00 degrees
Closest atoms and distances in Å follow each position.
Fractional coordinates of all 5 atoms:
N 0.0000 0.0000 0.5000  2 S 1.68
S 0.0000 0.0000 0.0000  2 N 1.68
Te 0.5000 0.0000 0.0000  2 S 3.21, 2 Te 3.36
Te 0.0000 0.5000 0.0000  2 S 3.21, 2 Te 3.36
Ba 0.5000 0.5000 0.5000  2 Ba 3.36, 8 Te 3.62